i.
# CaY2Pd

A relaxed CaY2Pd crystal (PBE, Alexandria).

Cell lengths 3.9746, 6.5117, 9.3742 Å; angles 90.00, 90.00, 107.76 degrees
Closest atoms and distances in Å follow each position.
Fractional coordinates of all 8 atoms:
1 Ca 0.9344 0.8688 0.2500  2 Pd 3.17
2 Ca 0.0656 0.1312 0.7500  2 Pd 3.17
3 Y 0.3573 0.7146 0.5604  2 Pd 2.90
4 Y 0.6427 0.2854 0.4396  2 Pd 2.90
5 Y 0.3573 0.7146 0.9396  2 Pd 2.90
6 Y 0.6427 0.2854 0.0604  2 Pd 2.90
7 Pd 0.7645 0.5292 0.7500  4 Y 2.90, 2 Ca 3.17
8 Pd 0.2355 0.4708 0.2500  4 Y 2.90, 2 Ca 3.17

The density of states at the Fermi level is 11.0 states/eV/cell. The total magnetic moment is 0.000 μB/atom.


ii.
# CaY2Pd

A relaxed CaY2Pd crystal (PBE, Alexandria).

Cell lengths 4.0661, 4.0661, 9.5913 Å; angles 77.76, 77.76, 60.00 degrees
Closest atoms and distances in Å follow each position.
Fractional coordinates of all 4 atoms:
1 Ca 0.5010 0.5010 0.4971  6 Y 3.86-3.92, 6 Ca 4.07
2 Y 0.0552 0.0552 0.8344  3 Pd 2.81
3 Y 0.2776 0.2776 0.1672  3 Pd 2.81
4 Pd 0.6662 0.6662 0.0013  6 Y 2.81

The density of states at the Fermi level is 5.2 states/eV/cell. The total magnetic moment is 0.000 μB/atom.


Consider the structures shown above. The most stable of them is i.